First-principles (PBE with a Hubbard U) data for a relaxed structure of Li4NbCo3O8, as listed in Alexandria.

The structure in POSCAR format:
```
Li4NbCo3O8
1.0
5.220 -2.995 0.000
5.220 2.995 0.000
-3.498 0.000 9.843
Li Nb Co O
8 2 6 16
Cartesian
2.596 1.519 7.382
1.758 0.037 2.500
4.345 1.493 2.461
0.009 -0.037 7.421
6.932 0.037 2.422
2.596 -1.493 7.382
5.183 -0.037 7.343
4.345 -1.519 2.461
2.610 1.497 0.000
0.861 -1.497 4.922
0.000 0.000 0.000
-1.749 0.000 4.922
0.861 1.497 4.922
2.610 -1.497 0.000
5.220 0.000 0.000
3.471 0.000 4.922
-1.718 0.064 8.665
0.766 1.479 8.654
0.031 -0.064 3.743
2.662 1.397 3.875
3.458 0.075 1.178
6.028 1.397 1.047
1.709 -0.075 6.099
4.427 1.479 6.111
2.514 -1.479 3.733
5.232 0.075 3.744
0.913 -1.397 8.796
3.483 -0.075 8.666
4.279 -1.397 5.969
6.911 0.064 6.100
6.176 -1.479 1.189
8.660 -0.064 1.178
```

Output
theoretical density	4.59	g cm⁻³
E_tot	-201.37	eV for the cell shown
relative energy among the computed polymorphs	0.000	eV/atom